(1)
A relaxed structure of Tb2NdMg3TlIn2. Source: OQMD, functional PBE.

## Properties
**Energy**: -3.332 eV/atom
**Magnetization**: 0.00 μB per formula unit
**Calculated density**: 6.83 g/cm³

Cell and atoms, written as CIF:
```
data_Tb2NdMg3TlIn2
_symmetry_space_group_name_H-M 'A m m 2'
_symmetry_Int_Tables_number 38
_symmetry_space_group_name_Hall 'A 2 -2'
_cell_length_a 4.701
_cell_length_b 13.259
_cell_length_c 7.562
_cell_angle_alpha 90.00
_cell_angle_beta 90.00
_cell_angle_gamma 90.00
loop_
_atom_site_label
_atom_site_fract_x
_atom_site_fract_y
_atom_site_fract_z
Tb1 0.000 0.215 0.000
Nd1 0.000 0.000 0.355
Mg1 0.500 0.000 0.031
Mg2 0.500 0.121 0.664
Tl1 0.000 0.000 0.793
In1 0.500 0.170 0.285
```

=====

(2)
A relaxed structure of TbNd2Mg3TlIn2. Source: OQMD, functional PBE.

## Properties
**Energy**: -3.354 eV/atom
**Magnetization**: 0.02 μB per formula unit
**Calculated density**: 6.59 g/cm³

Cell and atoms, written as CIF:
```
data_TbNd2Mg3TlIn2
_symmetry_space_group_name_H-M 'A m m 2'
_symmetry_Int_Tables_number 38
_symmetry_space_group_name_Hall 'A 2 -2'
_cell_length_a 4.729
_cell_length_b 13.186
_cell_length_c 7.717
_cell_angle_alpha 90.00
_cell_angle_beta 90.00
_cell_angle_gamma 90.00
loop_
_atom_site_label
_atom_site_fract_x
_atom_site_fract_y
_atom_site_fract_z
Tb1 0.000 0.000 0.000
Nd1 0.000 0.215 0.643
Mg1 0.500 0.000 0.669
Mg2 0.500 0.122 0.306
Tl1 0.000 0.000 0.421
In1 0.500 0.164 0.929
```

=====

(3)
A relaxed structure of NdMgInTe3. Source: OQMD, functional PBE.

## Properties
**Energy**: -3.983 eV/atom
**Magnetization**: 0.01 μB per formula unit
**Calculated density**: 5.33 g/cm³

Cell and atoms, written as CIF:
```
data_NdMgInTe3
_symmetry_space_group_name_H-M 'C m c m'
_symmetry_Int_Tables_number 63
_symmetry_space_group_name_Hall '-C 2c 2'
_cell_length_a 4.534
_cell_length_b 15.259
_cell_length_c 11.993
_cell_angle_alpha 90.00
_cell_angle_beta 90.00
_cell_angle_gamma 90.00
loop_
_atom_site_label
_atom_site_fract_x
_atom_site_fract_y
_atom_site_fract_z
Nd1 0.000 0.000 0.000
Mg1 0.000 0.465 0.250
In1 0.000 0.242 0.750
Te1 0.000 0.079 0.250
Te2 0.000 0.361 0.061
```

=====

(4)
A relaxed structure of Nd3Mg3Tl2In. Source: OQMD, functional PBE.

## Properties
**Energy**: -3.312 eV/atom
**Magnetization**: 0.00 μB per formula unit
**Calculated density**: 6.96 g/cm³

Cell and atoms, written as CIF:
```
data_Nd3Mg3Tl2In
_symmetry_space_group_name_H-M 'P -6 2 m'
_symmetry_Int_Tables_number 189
_symmetry_space_group_name_Hall 'P -6 -2'
_cell_length_a 7.7125
_cell_length_b 7.7125
_cell_length_c 4.7681
_cell_angle_alpha 90.00
_cell_angle_beta 90.00
_cell_angle_gamma 120.00
loop_
_atom_site_label
_atom_site_fract_x
_atom_site_fract_y
_atom_site_fract_z
Nd1 0.0000 0.5697 0.0000
Mg1 0.0000 0.2408 0.5000
Tl1 0.3333 0.6667 0.5000
In1 0.0000 0.0000 0.0000
```

=====

Q: Which value of calculated density does entry 4 give?
A: 6.96 g/cm³

=====

Repeat the first record exactly.
A relaxed structure of Tb2NdMg3TlIn2. Source: OQMD, functional PBE.

## Properties
**Energy**: -3.332 eV/atom
**Magnetization**: 0.00 μB per formula unit
**Calculated density**: 6.83 g/cm³

Cell and atoms, written as CIF:
```
data_Tb2NdMg3TlIn2
_symmetry_space_group_name_H-M 'A m m 2'
_symmetry_Int_Tables_number 38
_symmetry_space_group_name_Hall 'A 2 -2'
_cell_length_a 4.701
_cell_length_b 13.259
_cell_length_c 7.562
_cell_angle_alpha 90.00
_cell_angle_beta 90.00
_cell_angle_gamma 90.00
loop_
_atom_site_label
_atom_site_fract_x
_atom_site_fract_y
_atom_site_fract_z
Tb1 0.000 0.215 0.000
Nd1 0.000 0.000 0.355
Mg1 0.500 0.000 0.031
Mg2 0.500 0.121 0.664
Tl1 0.000 0.000 0.793
In1 0.500 0.170 0.285
```

=====

Q: Which of these has the highest calculated density?
A: Nd3Mg3Tl2In